#i
Computed, not measured: an optimized crystal structure of TbPd3Au6 at the PBE level of DFT.

V = 18.608 Å³ per atom
M_tot = 0.00 μB/atom
Density = 14.81 Mg/m³

Cell and atoms, written as CIF:
```
data_TbPd3Au6
_chemical_formula_sum 'Tb4 Pd12 Au24'
_symmetry_space_group_name_H-M 'C m c 21'
_symmetry_Int_Tables_number 36
_cell_length_a 7.872
_cell_length_b 17.652
_cell_length_c 5.356
_cell_angle_alpha 90.00
_cell_angle_beta 90.00
_cell_angle_gamma 90.00
loop_
_symmetry_equiv_pos_as_xyz
'x,y,z'
'-x,-y,z+1/2'
'-x,y,z'
'x,-y,z+1/2'
'x+1/2,y+1/2,z'
'-x+1/2,-y+1/2,z+1/2'
'-x+1/2,y+1/2,z'
'x+1/2,-y+1/2,z+1/2'
loop_
_atom_site_label
_atom_site_fract_x
_atom_site_fract_y
_atom_site_fract_z
Tb1 0.000 0.154 0.000
Pd1 0.000 0.396 0.215
Pd2 0.180 0.119 0.506
Au1 0.000 0.003 0.778
Au2 0.000 0.328 0.751
Au3 0.181 0.466 0.585
Au4 0.189 0.267 0.331
```

***

#ii
Computed, not measured: an optimized crystal structure of TbPd3Au6 at the PBE level of DFT.

V = 18.049 Å³ per atom
M_tot = 0.00 μB/atom
Density = 15.27 Mg/m³

Cell and atoms, written as CIF:
```
data_TbPd3Au6
_chemical_formula_sum 'Tb2 Pd6 Au12'
_symmetry_space_group_name_H-M 'P 1 21/m 1'
_symmetry_Int_Tables_number 11
_cell_length_a 7.729
_cell_length_b 4.852
_cell_length_c 10.122
_cell_angle_alpha 90.00
_cell_angle_beta 108.00
_cell_angle_gamma 90.00
loop_
_symmetry_equiv_pos_as_xyz
'x,y,z'
'-x,-y,-z'
'-x,y+1/2,-z'
'x,-y+1/2,z'
loop_
_atom_site_label
_atom_site_fract_x
_atom_site_fract_y
_atom_site_fract_z
Tb1 0.201 0.250 0.131
Pd1 0.006 0.250 0.335
Pd2 0.202 0.750 0.464
Pd3 0.402 0.250 0.929
Au1 0.006 0.250 0.824
Au2 0.190 0.250 0.624
Au3 0.208 0.750 0.959
Au4 0.389 0.750 0.758
Au5 0.399 0.250 0.436
Au6 0.407 0.750 0.270
```

***

Quick one: most stable of them? #ii

***

#i
Computed, not measured: an optimized crystal structure of TbPdAu4 at the PBE level of DFT.

V = 19.100 Å³ per atom
M_tot = 0.00 μB/atom
Density = 15.26 Mg/m³

Cell and atoms, written as CIF:
```
data_TbPdAu4
_chemical_formula_sum 'Tb4 Pd4 Au16'
_symmetry_space_group_name_H-M 'C 1 2/c 1'
_symmetry_Int_Tables_number 15
_cell_length_a 5.640
_cell_length_b 16.739
_cell_length_c 4.855
_cell_angle_alpha 90.00
_cell_angle_beta 90.08
_cell_angle_gamma 90.00
loop_
_symmetry_equiv_pos_as_xyz
'x,y,z'
'-x,-y,-z'
'-x,y,-z+1/2'
'x,-y,z+1/2'
'x+1/2,y+1/2,z'
'-x+1/2,-y+1/2,-z'
'-x+1/2,y+1/2,-z+1/2'
'x+1/2,-y+1/2,z+1/2'
loop_
_atom_site_label
_atom_site_fract_x
_atom_site_fract_y
_atom_site_fract_z
Tb1 0.000 0.122 0.250
Pd1 0.000 0.372 0.750
Au1 0.243 0.458 0.249
Au2 0.248 0.292 0.250
```

***

#ii
Computed, not measured: an optimized crystal structure of TbPdAu4 at the PBE level of DFT.

V = 19.561 Å³ per atom
M_tot = 0.00 μB/atom
Density = 14.90 Mg/m³

Cell and atoms, written as CIF:
```
data_TbPdAu4
_chemical_formula_sum 'Tb4 Pd4 Au16'
_symmetry_space_group_name_H-M 'F -4 3 m'
_symmetry_Int_Tables_number 216
_symmetry_space_group_name_Hall 'F -4 2 3'
_cell_length_a 7.772
_cell_length_b 7.772
_cell_length_c 7.772
_cell_angle_alpha 90.00
_cell_angle_beta 90.00
_cell_angle_gamma 90.00
loop_
_atom_site_label
_atom_site_fract_x
_atom_site_fract_y
_atom_site_fract_z
Tb1 0.000 0.000 0.000
Pd1 0.250 0.250 0.750
Au1 0.125 0.125 0.375
```

***

Quick one: most stable of them? #i

***

#i
Computed, not measured: an optimized crystal structure of TbPd4Au2 at the PBE level of DFT.

V = 18.883 Å³ per atom
M_tot = 0.00 μB/atom
Density = 12.29 Mg/m³

Cell and atoms, written as CIF:
```
data_TbPd4Au2
_chemical_formula_sum 'Tb4 Pd16 Au8'
_symmetry_space_group_name_H-M 'I -4 2 d'
_symmetry_Int_Tables_number 122
_symmetry_space_group_name_Hall 'I -4 2bw'
_cell_length_a 8.043
_cell_length_b 8.043
_cell_length_c 8.174
_cell_angle_alpha 90.00
_cell_angle_beta 90.00
_cell_angle_gamma 90.00
loop_
_atom_site_label
_atom_site_fract_x
_atom_site_fract_y
_atom_site_fract_z
Tb1 0.000 0.000 0.000
Pd1 0.084 0.654 0.941
Au1 0.151 0.750 0.625
```

***

#ii
Computed, not measured: an optimized crystal structure of TbPd4Au2 at the PBE level of DFT.

V = 18.182 Å³ per atom
M_tot = 0.00 μB/atom
Density = 12.77 Mg/m³

Cell and atoms, written as CIF:
```
data_TbPd4Au2
_chemical_formula_sum 'Tb2 Pd8 Au4'
_symmetry_space_group_name_H-M 'C 1 2/m 1'
_symmetry_Int_Tables_number 12
_cell_length_a 8.727
_cell_length_b 6.789
_cell_length_c 5.487
_cell_angle_alpha 90.00
_cell_angle_beta 128.46
_cell_angle_gamma 90.00
loop_
_symmetry_equiv_pos_as_xyz
'x,y,z'
'-x,-y,-z'
'-x,y,-z'
'x,-y,z'
'x+1/2,y+1/2,z'
'-x+1/2,-y+1/2,-z'
'-x+1/2,y+1/2,-z'
'x+1/2,-y+1/2,z'
loop_
_atom_site_label
_atom_site_fract_x
_atom_site_fract_y
_atom_site_fract_z
Tb1 0.000 0.000 0.000
Pd1 0.201 0.202 0.701
Au1 0.000 0.500 0.249
```

***

Quick one: most stable of them? #ii

***

#i
Computed, not measured: an optimized crystal structure of TbPd4Au at the PBE level of DFT.

V = 17.896 Å³ per atom
M_tot = 0.00 μB/atom
Density = 12.09 Mg/m³

Cell and atoms, written as CIF:
```
data_TbPd4Au
_chemical_formula_sum 'Tb4 Pd16 Au4'
_symmetry_space_group_name_H-M 'F -4 3 m'
_symmetry_Int_Tables_number 216
_symmetry_space_group_name_Hall 'F -4 2 3'
_cell_length_a 7.545
_cell_length_b 7.545
_cell_length_c 7.545
_cell_angle_alpha 90.00
_cell_angle_beta 90.00
_cell_angle_gamma 90.00
loop_
_atom_site_label
_atom_site_fract_x
_atom_site_fract_y
_atom_site_fract_z
Tb1 0.000 0.000 0.000
Pd1 0.125 0.125 0.625
Au1 0.250 0.250 0.250
```

***

#ii
Computed, not measured: an optimized crystal structure of TbPd4Au at the PBE level of DFT.

V = 17.929 Å³ per atom
M_tot = 0.00 μB/atom
Density = 12.06 Mg/m³

Cell and atoms, written as CIF:
```
data_TbPd4Au
_chemical_formula_sum 'Tb2 Pd8 Au2'
_symmetry_space_group_name_H-M 'P 1 21/m 1'
_symmetry_Int_Tables_number 11
_cell_length_a 5.601
_cell_length_b 5.645
_cell_length_c 7.059
_cell_angle_alpha 90.00
_cell_angle_beta 105.43
_cell_angle_gamma 90.00
loop_
_symmetry_equiv_pos_as_xyz
'x,y,z'
'-x,-y,-z'
'-x,y+1/2,-z'
'x,-y+1/2,z'
loop_
_atom_site_label
_atom_site_fract_x
_atom_site_fract_y
_atom_site_fract_z
Tb1 0.227 0.250 0.480
Pd1 0.169 0.750 0.848
Pd2 0.269 0.750 0.491
Pd3 0.414 0.504 0.185
Au1 0.090 0.250 0.865
```

***

Quick one: most stable of them? #i

***

#i
Computed, not measured: an optimized crystal structure of TbThPdAu at the PBE level of DFT.

V = 24.622 Å³ per atom
M_tot = 0.00 μB/atom
Density = 11.71 Mg/m³

Cell and atoms, written as CIF:
```
data_TbThPdAu
_chemical_formula_sum 'Tb2 Th2 Pd2 Au2'
_symmetry_space_group_name_H-M 'A m m 2'
_symmetry_Int_Tables_number 38
_cell_length_a 4.561
_cell_length_b 3.818
_cell_length_c 11.311
_cell_angle_alpha 90.00
_cell_angle_beta 90.00
_cell_angle_gamma 90.00
loop_
_symmetry_equiv_pos_as_xyz
'x,y,z'
'-x,-y,z'
'-x,y,z'
'x,-y,z'
'x,y+1/2,z+1/2'
'-x,-y+1/2,z+1/2'
'-x,y+1/2,z+1/2'
'x,-y+1/2,z+1/2'
loop_
_atom_site_label
_atom_site_fract_x
_atom_site_fract_y
_atom_site_fract_z
Tb1 0.000 0.000 0.000
Th1 0.500 0.000 0.724
Pd1 0.000 0.000 0.267
Au1 0.500 0.000 0.447
```

***

#ii
Computed, not measured: an optimized crystal structure of TbThPdAu at the PBE level of DFT.

V = 23.970 Å³ per atom
M_tot = 0.00 μB/atom
Density = 12.03 Mg/m³

Cell and atoms, written as CIF:
```
data_TbThPdAu
_chemical_formula_sum 'Tb4 Th4 Pd4 Au4'
_symmetry_space_group_name_H-M 'F -4 3 m'
_symmetry_Int_Tables_number 216
_symmetry_space_group_name_Hall 'F -4 2 3'
_cell_length_a 7.265
_cell_length_b 7.265
_cell_length_c 7.265
_cell_angle_alpha 90.00
_cell_angle_beta 90.00
_cell_angle_gamma 90.00
loop_
_atom_site_label
_atom_site_fract_x
_atom_site_fract_y
_atom_site_fract_z
Tb1 0.000 0.000 0.000
Th1 0.000 0.000 0.500
Pd1 0.250 0.250 0.750
Au1 0.250 0.250 0.250
```

***

Quick one: most stable of them? #i

***

#i
Computed, not measured: an optimized crystal structure of TbTmPdAu at the PBE level of DFT.

V = 22.979 Å³ per atom
M_tot = 0.00 μB/atom
Density = 11.40 Mg/m³

Cell and atoms, written as CIF:
```
data_TbTmPdAu
_chemical_formula_sum 'Tb2 Tm2 Pd2 Au2'
_symmetry_space_group_name_H-M 'A m m 2'
_symmetry_Int_Tables_number 38
_cell_length_a 4.663
_cell_length_b 3.722
_cell_length_c 10.593
_cell_angle_alpha 90.00
_cell_angle_beta 90.00
_cell_angle_gamma 90.00
loop_
_symmetry_equiv_pos_as_xyz
'x,y,z'
'-x,-y,z'
'-x,y,z'
'x,-y,z'
'x,y+1/2,z+1/2'
'-x,-y+1/2,z+1/2'
'-x,y+1/2,z+1/2'
'x,-y+1/2,z+1/2'
loop_
_atom_site_label
_atom_site_fract_x
_atom_site_fract_y
_atom_site_fract_z
Tb1 0.000 0.000 0.000
Tm1 0.500 0.000 0.277
Pd1 0.000 0.000 0.728
Au1 0.500 0.000 0.555
```

***

#ii
Computed, not measured: an optimized crystal structure of TbTmPdAu at the PBE level of DFT.

V = 22.182 Å³ per atom
M_tot = 0.00 μB/atom
Density = 11.81 Mg/m³

Cell and atoms, written as CIF:
```
data_TbTmPdAu
_chemical_formula_sum 'Tb4 Tm4 Pd4 Au4'
_symmetry_space_group_name_H-M 'F -4 3 m'
_symmetry_Int_Tables_number 216
_symmetry_space_group_name_Hall 'F -4 2 3'
_cell_length_a 7.080
_cell_length_b 7.080
_cell_length_c 7.080
_cell_angle_alpha 90.00
_cell_angle_beta 90.00
_cell_angle_gamma 90.00
loop_
_atom_site_label
_atom_site_fract_x
_atom_site_fract_y
_atom_site_fract_z
Tb1 0.000 0.000 0.000
Tm1 0.000 0.000 0.500
Pd1 0.250 0.250 0.750
Au1 0.250 0.250 0.250
```

***

Quick one: most stable of them? #i

***

#i
Computed, not measured: an optimized crystal structure of TcPd2Au at the PBE level of DFT.

V = 15.737 Å³ per atom
M_tot = 0.00 μB/atom
Density = 13.40 Mg/m³

Cell and atoms, written as CIF:
```
data_TcPd2Au
_chemical_formula_sum 'Tc3 Pd6 Au3'
_symmetry_space_group_name_H-M 'R -3 m'
_symmetry_Int_Tables_number 166
_symmetry_space_group_name_Hall '-R 3 2"'
_cell_length_a 2.8036
_cell_length_b 2.8036
_cell_length_c 27.7433
_cell_angle_alpha 90.00
_cell_angle_beta 90.00
_cell_angle_gamma 120.00
loop_
_atom_site_label
_atom_site_fract_x
_atom_site_fract_y
_atom_site_fract_z
Tc1 0.0000 0.0000 0.0000
Pd1 0.0000 0.0000 0.2545
Au1 0.0000 0.0000 0.5000
```

***

#ii
Computed, not measured: an optimized crystal structure of TcPd2Au at the PBE level of DFT.

V = 16.253 Å³ per atom
M_tot = 0.78 μB/atom
Density = 12.97 Mg/m³

Cell and atoms, written as CIF:
```
data_TcPd2Au
_chemical_formula_sum 'Tc4 Pd8 Au4'
_symmetry_space_group_name_H-M 'F m -3 m'
_symmetry_Int_Tables_number 225
_symmetry_space_group_name_Hall '-F 4 2 3'
_cell_length_a 6.383
_cell_length_b 6.383
_cell_length_c 6.383
_cell_angle_alpha 90.00
_cell_angle_beta 90.00
_cell_angle_gamma 90.00
loop_
_atom_site_label
_atom_site_fract_x
_atom_site_fract_y
_atom_site_fract_z
Tc1 0.000 0.000 0.000
Pd1 0.250 0.250 0.250
Au1 0.000 0.000 0.500
```

***

#iii
Computed, not measured: an optimized crystal structure of TcPd2Au at the PBE level of DFT.

V = 17.687 Å³ per atom
M_tot = 0.65 μB/atom
Density = 11.92 Mg/m³

Cell and atoms, written as CIF:
```
data_TcPd2Au
_chemical_formula_sum 'Tc4 Pd8 Au4'
_symmetry_space_group_name_H-M 'I -4 2 d'
_symmetry_Int_Tables_number 122
_symmetry_space_group_name_Hall 'I -4 2bw'
_cell_length_a 7.182
_cell_length_b 7.182
_cell_length_c 5.486
_cell_angle_alpha 90.00
_cell_angle_beta 90.00
_cell_angle_gamma 90.00
loop_
_atom_site_label
_atom_site_fract_x
_atom_site_fract_y
_atom_site_fract_z
Tc1 0.000 0.000 0.000
Pd1 0.233 0.250 0.125
Au1 0.000 0.000 0.500
```

***

Quick one: most stable of them? #i

***

#i
Computed, not measured: an optimized crystal structure of Tc2PdAu at the PBE level of DFT.

V = 15.706 Å³ per atom
M_tot = 0.00 μB/atom
Density = 13.20 Mg/m³

Cell and atoms, written as CIF:
```
data_Tc2PdAu
_chemical_formula_sum 'Tc8 Pd4 Au4'
_symmetry_space_group_name_H-M 'F m -3 m'
_symmetry_Int_Tables_number 225
_symmetry_space_group_name_Hall '-F 4 2 3'
_cell_length_a 6.310
_cell_length_b 6.310
_cell_length_c 6.310
_cell_angle_alpha 90.00
_cell_angle_beta 90.00
_cell_angle_gamma 90.00
loop_
_atom_site_label
_atom_site_fract_x
_atom_site_fract_y
_atom_site_fract_z
Tc1 0.250 0.250 0.250
Pd1 0.000 0.000 0.000
Au1 0.000 0.000 0.500
```

***

#ii
Computed, not measured: an optimized crystal structure of Tc2PdAu at the PBE level of DFT.

V = 22.816 Å³ per atom
M_tot = 0.00 μB/atom
Density = 9.09 Mg/m³

Cell and atoms, written as CIF:
```
data_Tc2PdAu
_chemical_formula_sum 'Tc8 Pd4 Au4'
_symmetry_space_group_name_H-M 'I -4 2 d'
_symmetry_Int_Tables_number 122
_symmetry_space_group_name_Hall 'I -4 2bw'
_cell_length_a 5.677
_cell_length_b 5.677
_cell_length_c 11.328
_cell_angle_alpha 90.00
_cell_angle_beta 90.00
_cell_angle_gamma 90.00
loop_
_atom_site_label
_atom_site_fract_x
_atom_site_fract_y
_atom_site_fract_z
Tc1 0.237 0.250 0.125
Pd1 0.000 0.000 0.000
Au1 0.000 0.000 0.500
```

***

Quick one: most stable of them? #i